An optimized crystal structure of KDyGa2I6, computed with PBE.

a = 8.2695 Å, b = 8.2695 Å, c = 22.4799 Å
α = 90.00°, β = 90.00°, γ = 120.00°
Space group R3 (No. 146, hexagonal axes)
Asymmetric unit:
K1 0.0000 0.0000 0.0000 x3
Dy1 0.0000 0.0000 0.4904 x3
Ga1 0.0000 0.0000 0.3051 x3
Ga2 0.0000 0.0000 0.8124 x3
I1 0.0134 0.3158 0.5625 x9
I2 0.0282 0.7254 0.4046 x9

## Properties
total energy	-3.09	eV/atom
formation energy (no corrections)	-0.9858	eV/atom



An optimized crystal structure of CdRuO3, computed with PBE.

a = 13.225 Å, b = 3.109 Å, c = 6.469 Å
α = 90.00°, β = 91.43°, γ = 90.00°
Space group C2/m (No. 12)
Asymmetric unit:
Cd1 0.137 0.000 0.386 x4
Ru1 0.100 0.500 0.864 x4
O1 0.026 0.000 0.728 x4
O2 0.144 0.000 0.025 x4
O3 0.185 0.500 0.626 x4

## Properties
total energy	-5.71	eV/atom
formation energy (no corrections)	-0.7017	eV/atom



An optimized crystal structure of Sr2GaAs3Pt4, computed with PBE.

a = 4.459 Å, b = 4.459 Å, c = 10.249 Å
α = 90.00°, β = 90.00°, γ = 90.00°
Space group P-4m2 (No. 115)
Asymmetric unit:
Sr1 0.000 0.500 0.249 x2
Ga1 0.000 0.000 0.500 x1
As1 0.000 0.500 0.872 x2
As2 0.500 0.500 0.500 x1
Pt1 0.000 0.000 0.000 x1
Pt2 0.000 0.500 0.624 x2
Pt3 0.500 0.500 0.000 x1

## Properties
formation enthalpy at 0 K	-0.80	eV per atom
total energy	-5.25	eV/atom



Q: Which of these has the highest total energy?
A: KDyGa2I6